[1]
The following is a PBE calculation of Al3ZnNi3 after structural relaxation, from the Alexandria database.

The energy of formation comes out at -0.452 eV/atom. The total energy is -4.72 eV per atom. The calculation puts the density of states at the Fermi level at 11.6 states/eV per cell.

Cell: 8.1311 8.1311 4.9433 Å, 90.00 90.00 120.00°
Space group R-3m (No. 166, hexagonal axes)
Asymmetric unit:
1 Al 0.0000 0.5000 0.0000 x9
2 Zn 0.0000 0.0000 0.0000 x3
3 Ni 0.0000 0.5000 0.5000 x9

***

[2]
The following is a PBE calculation of BaTbHg4 after structural relaxation, from the Alexandria database.

The energy of formation comes out at -0.242 eV/atom. The total energy is -1.54 eV per atom. The relative energy among the computed polymorphs is 0.158 eV/atom. The calculation puts the density of states at the Fermi level at 5.1 states/eV per cell.

Cell: 4.5299 4.5299 9.7535 Å, 90.00 90.00 90.00°
Space group P4/mmm (No. 123)
Asymmetric unit:
1 Ba 0.0000 0.0000 0.0000 x1
2 Tb 0.5000 0.5000 0.5000 x1
3 Hg 0.0000 0.5000 0.2810 x4

***

[3]
The following is a PBE calculation of BaCa2Tl after structural relaxation, from the Alexandria database.

The energy of formation comes out at -0.103 eV/atom. The total energy is -2.18 eV per atom. The relative energy among the computed polymorphs is 0.149 eV/atom. The calculation puts the density of states at the Fermi level at 24.0 states/eV per cell.

Cell: 8.3347 8.3347 8.3347 Å, 90.00 90.00 90.00°
Space group Fm-3m (No. 225)
Asymmetric unit:
1 Ba 0.0000 0.0000 0.0000 x4
2 Ca 0.2500 0.2500 0.2500 x8
3 Tl 0.0000 0.0000 0.5000 x4

***

[4]
The following is a PBE calculation of Rb2ZrTlSe4 after structural relaxation, from the Alexandria database.

The calculation puts the energy relative to the elements, uncorrected at -95 kJ per mole of atoms. The total energy is -4.33 eV per atom. The calculation puts the density of states at the Fermi level at 33.8 states/eV per cell.

Cell: 7.0918 14.7629 24.0670 Å, 90.00 90.00 90.00°
Space group Fddd (No. 70, origin choice 2)
Asymmetric unit:
1 Rb 0.1250 0.1250 0.3086 x16
2 Zr 0.1250 0.1250 0.1250 x8
3 Tl 0.1250 0.1250 0.6250 x8
4 Se 0.0870 0.2727 0.4334 x32

***

[5]
The following is a PBE calculation of Dy2ZnCu after structural relaxation, from the Alexandria database.

The energy of formation comes out at -0.295 eV/atom. The total energy is -3.94 eV per atom. The calculation puts the density of states at the Fermi level at 2.8 states/eV per cell.

Cell: 3.5119 3.5119 7.0605 Å, 90.00 90.00 90.00°
Space group P4/mmm (No. 123)
Asymmetric unit:
1 Dy 0.0000 0.0000 0.2432 x2
2 Zn 0.5000 0.5000 0.5000 x1
3 Cu 0.5000 0.5000 0.0000 x1

***

[6]
The following is a PBE calculation of TcP2Se after structural relaxation, from the Alexandria database.

The calculation puts the energy relative to the elements, uncorrected at -1 kJ per mole of atoms. The total energy is -6.17 eV per atom. The calculation puts the density of states at the Fermi level at 5.7 states/eV per cell.

Cell: 7.4294 2.8374 7.7243 Å, 90.00 110.88 90.00°
Space group C2/m (No. 12)
Asymmetric unit:
1 Tc 0.0000 0.0000 0.0000 x2
2 P 0.1487 0.5000 0.8390 x4
3 Se 0.0000 0.5000 0.5000 x2